[1]
Computed, not measured: a relaxed AlCo2 crystal at the PBEsol level of DFT.

Results
* Fermi-level density of states: 0.93 states/eV per atom
* formation energy: -326 meV per atom

Cell: 2.777 3.972 6.315 Å, 108.33 90.00 90.00°
Site moments in Bohr magnetons follow the coordinates.
Fractional coordinates of all 6 atoms:
1 Co 0.000 0.000 0.000  1.70
2 Co 0.500 0.500 0.000  1.03
3 Co 0.500 0.165 0.330  0.63
4 Co 0.500 0.835 0.670  0.63
5 Al 0.000 0.335 0.670  -0.02
6 Al 0.000 0.665 0.330  -0.02

[2]
Computed, not measured: a relaxed Na3HoTi2Nb2O12 crystal at the PBEsol level of DFT.

Results
* Fermi-level density of states: 0.00 states/eV per atom
* formation energy from raw total energies: -2.7553 eV per atom

Cell: 5.389 5.511 15.425 Å, 90.00 90.00 90.00°
Fractional coordinates of all 40 atoms:
1 Na 0.740 0.985 0.245
2 Na 0.740 0.985 0.755
3 Na 0.260 0.485 0.755
4 Na 0.260 0.485 0.245
5 Na 0.257 0.541 0.500
6 Na 0.743 0.041 0.500
7 Ho 0.264 0.559 0.000
8 Ho 0.736 0.059 0.000
9 Ti 0.765 0.517 0.875
10 Ti 0.765 0.517 0.125
11 Ti 0.235 0.017 0.125
12 Ti 0.235 0.017 0.875
13 Nb 0.755 0.515 0.372
14 Nb 0.755 0.515 0.628
15 Nb 0.245 0.015 0.628
16 Nb 0.245 0.015 0.372
17 O 0.848 0.458 0.000
18 O 0.814 0.479 0.500
19 O 0.941 0.193 0.357
20 O 0.941 0.184 0.133
21 O 0.941 0.193 0.643
22 O 0.941 0.184 0.867
23 O 0.059 0.684 0.133
24 O 0.059 0.693 0.357
25 O 0.059 0.693 0.643
26 O 0.059 0.684 0.867
27 O 0.152 0.958 0.000
28 O 0.186 0.979 0.500
29 O 0.310 0.012 0.244
30 O 0.310 0.012 0.756
31 O 0.447 0.299 0.389
32 O 0.453 0.275 0.908
33 O 0.453 0.275 0.092
34 O 0.447 0.299 0.611
35 O 0.547 0.775 0.908
36 O 0.547 0.775 0.092
37 O 0.553 0.799 0.389
38 O 0.553 0.799 0.611
39 O 0.690 0.512 0.244
40 O 0.690 0.512 0.756

[3]
Computed, not measured: a relaxed TeMo5O16 crystal at the PBEsol level of DFT.

Results
* Fermi-level density of states: 0.00 states/eV per atom
* formation energy from raw total energies: -1.8599 eV per atom

Cell: 8.066 10.030 14.502 Å, 90.00 90.00 90.95°
Fractional coordinates of all 88 atoms:
1 Te 0.283 0.973 0.157
2 Te 0.783 0.973 0.343
3 Te 0.217 0.027 0.657
4 Te 0.717 0.027 0.843
5 Mo 0.201 0.320 0.000
6 Mo 0.701 0.320 0.500
7 Mo 0.280 0.332 0.749
8 Mo 0.220 0.668 0.249
9 Mo 0.201 0.691 0.748
10 Mo 0.799 0.309 0.252
11 Mo 0.799 0.680 0.000
12 Mo 0.297 0.677 0.998
13 Mo 0.720 0.668 0.251
14 Mo 0.299 0.680 0.500
15 Mo 0.780 0.332 0.751
16 Mo 0.757 0.999 0.113
17 Mo 0.701 0.691 0.752
18 Mo 0.257 0.999 0.387
19 Mo 0.797 0.677 0.502
20 Mo 0.203 0.323 0.498
21 Mo 0.299 0.309 0.248
22 Mo 0.743 0.001 0.613
23 Mo 0.243 0.001 0.887
24 Mo 0.703 0.323 0.002
25 O 0.510 0.308 0.252
26 O 0.240 0.888 0.763
27 O 0.531 0.991 0.617
28 O 0.740 0.888 0.737
29 O 0.255 0.270 0.122
30 O 0.257 0.644 0.373
31 O 0.739 0.507 0.778
32 O 0.469 0.009 0.383
33 O 0.009 0.671 0.247
34 O 0.994 0.341 0.500
35 O 0.745 0.730 0.878
36 O 0.266 0.867 0.272
37 O 0.766 0.867 0.228
38 O 0.757 0.644 0.127
39 O 0.512 0.985 0.151
40 O 0.767 0.139 0.534
41 O 0.250 0.657 0.872
42 O 0.743 0.356 0.627
43 O 0.491 0.298 0.502
44 O 0.232 0.254 0.626
45 O 0.289 0.867 0.966
46 O 0.239 0.507 0.722
47 O 0.506 0.659 0.000
48 O 0.761 0.493 0.278
49 O 0.969 0.009 0.117
50 O 0.009 0.702 0.002
51 O 0.768 0.746 0.374
52 O 0.245 0.730 0.622
53 O 0.260 0.112 0.263
54 O 0.031 0.991 0.883
55 O 0.275 0.497 0.523
56 O 0.734 0.133 0.728
57 O 0.509 0.702 0.498
58 O 0.225 0.503 0.023
59 O 0.750 0.657 0.628
60 O 0.732 0.254 0.874
61 O 0.267 0.139 0.966
62 O 0.006 0.659 0.500
63 O 0.211 0.133 0.466
64 O 0.250 0.343 0.372
65 O 0.755 0.270 0.378
66 O 0.775 0.497 0.977
67 O 0.760 0.112 0.237
68 O 0.010 0.308 0.248
69 O 0.991 0.298 0.998
70 O 0.991 0.329 0.753
71 O 0.990 0.692 0.752
72 O 0.268 0.746 0.126
73 O 0.234 0.133 0.772
74 O 0.490 0.692 0.748
75 O 0.750 0.343 0.128
76 O 0.789 0.867 0.534
77 O 0.012 0.985 0.349
78 O 0.488 0.015 0.849
79 O 0.509 0.671 0.253
80 O 0.491 0.329 0.747
81 O 0.988 0.015 0.651
82 O 0.733 0.861 0.034
83 O 0.261 0.493 0.222
84 O 0.243 0.356 0.873
85 O 0.725 0.503 0.477
86 O 0.711 0.133 0.034
87 O 0.494 0.341 0.000
88 O 0.233 0.861 0.466

[4]
Computed, not measured: a relaxed LiMg2Ru crystal at the PBEsol level of DFT.

Results
* Fermi-level density of states: 0.55 states/eV per atom
* formation energy: 62 meV per atom

Cell: 3.289 4.375 4.375 Å, 90.03 90.00 90.00°
Fractional coordinates of all 4 atoms:
1 Ru 0.500 0.500 0.500
2 Mg 0.000 0.000 0.500
3 Mg 0.000 0.500 0.000
4 Li 0.500 0.000 0.000

[5]
Computed, not measured: a relaxed LiY2Ag crystal at the PBEsol level of DFT.

Results
* Fermi-level density of states: 1.11 states/eV per atom
* formation energy: 25 meV per atom

Cell: 4.265 4.265 5.971 Å, 110.93 110.93 90.00°
Fractional coordinates of all 4 atoms:
1 Ag 0.500 0.500 0.000
2 Li 0.250 0.750 0.500
3 Y 0.000 0.000 0.000
4 Y 0.750 0.250 0.500

[6]
Computed, not measured: a relaxed Pt2Pb crystal at the PBEsol level of DFT.

Results
* Fermi-level density of states: 0.32 states/eV per atom
* formation energy: -49 meV per atom

Cell: 5.433 5.433 8.789 Å, 90.00 90.00 120.00°
Fractional coordinates of all 12 atoms:
1 Pb 0.667 0.333 0.938
2 Pb 0.667 0.333 0.562
3 Pb 0.333 0.667 0.438
4 Pb 0.333 0.667 0.062
5 Pt 0.000 0.000 0.000
6 Pt 0.000 0.000 0.500
7 Pt 0.832 0.168 0.250
8 Pt 0.832 0.664 0.250
9 Pt 0.664 0.832 0.750
10 Pt 0.336 0.168 0.250
11 Pt 0.168 0.336 0.750
12 Pt 0.168 0.832 0.750

[7]
Computed, not measured: a relaxed Mg2TlIn crystal at the PBEsol level of DFT.

Results
* Fermi-level density of states: 0.37 states/eV per atom
* formation energy: -45 meV per atom

Cell: 3.939 3.939 6.150 Å, 90.00 90.00 90.00°
Fractional coordinates of all 4 atoms:
1 Tl 0.000 0.000 0.489
2 Mg 0.000 0.000 0.990
3 Mg 0.500 0.500 0.257
4 In 0.500 0.500 0.764

[8]
Computed, not measured: a relaxed Li2LaHg2 crystal at the PBEsol level of DFT.

Results
* Fermi-level density of states: 0.56 states/eV per atom
* formation energy: -383 meV per atom

Cell: 3.145 8.162 8.162 Å, 90.00 90.00 90.00°
Fractional coordinates of all 10 atoms:
1 Li 0.000 0.384 0.884
2 Li 0.000 0.884 0.616
3 Li 0.000 0.616 0.116
4 Li 0.000 0.116 0.384
5 Hg 0.500 0.178 0.678
6 Hg 0.500 0.678 0.822
7 Hg 0.500 0.822 0.322
8 Hg 0.500 0.322 0.178
9 La 0.000 0.000 0.000
10 La 0.000 0.500 0.500